## Na2PrInS4 (PBE-GGA)

Data for crystalline Na2PrInS4 at its relaxed geometry.

a b c (Å): 6.915 4.011 7.166
angles (deg): 90.00 109.15 90.00
Space group P2/m (No. 10)
One atom of each set of equivalent atoms:
Na 0.000 0.000 0.000
Na 0.500 0.500 0.000
Pr 0.000 0.500 0.500
In 0.500 0.000 0.500
S 0.256 0.000 0.736
S 0.277 0.500 0.276

## Properties
* formation energy without anion corrections: -1281 meV per atom
* magnetization: 0.00 Bohr magnetons per cell